Entry 1:
A geometry-optimized Ba5Ru2O10 structure, computed with PBEsol.

Unit cell a=5.941 b=5.941 c=17.855 alpha=90.00 beta=90.00 gamma=120.00
Positions (direct):
Ba (0.000, 0.000, 0.137)
Ba (0.000, 0.000, 0.363)
Ba (0.000, 0.000, 0.637)
Ba (0.000, 0.000, 0.863)
Ba (0.333, 0.667, 0.015)
Ba (0.333, 0.667, 0.250)
Ba (0.333, 0.667, 0.485)
Ba (0.667, 0.333, 0.515)
Ba (0.667, 0.333, 0.750)
Ba (0.667, 0.333, 0.985)
Ru (0.333, 0.667, 0.673)
Ru (0.333, 0.667, 0.827)
Ru (0.667, 0.333, 0.173)
Ru (0.667, 0.333, 0.327)
O (0.000, 0.000, 0.000)
O (0.000, 0.000, 0.500)
O (0.022, 0.511, 0.617)
O (0.022, 0.511, 0.883)
O (0.186, 0.372, 0.750)
O (0.186, 0.814, 0.750)
O (0.372, 0.186, 0.250)
O (0.489, 0.511, 0.617)
O (0.489, 0.511, 0.883)
O (0.489, 0.978, 0.617)
O (0.489, 0.978, 0.883)
O (0.511, 0.022, 0.117)
O (0.511, 0.022, 0.383)
O (0.511, 0.489, 0.117)
O (0.511, 0.489, 0.383)
O (0.628, 0.814, 0.750)
O (0.814, 0.186, 0.250)
O (0.814, 0.628, 0.250)
O (0.978, 0.489, 0.117)
O (0.978, 0.489, 0.383)

Entry 2:
A geometry-optimized Ba3SmRu2O9 structure, computed with PBEsol.

Unit cell a=5.895 b=5.895 c=14.547 alpha=90.00 beta=90.00 gamma=120.00
Positions (direct):
Ba (0.000, 0.000, 0.250)
Ba (0.000, 0.000, 0.750)
Ba (0.333, 0.667, 0.099)
Ba (0.333, 0.667, 0.401)
Ba (0.667, 0.333, 0.599)
Ba (0.667, 0.333, 0.901)
Sm (0.000, 0.000, 0.000)
Sm (0.000, 0.000, 0.500)
Ru (0.333, 0.667, 0.666)
Ru (0.333, 0.667, 0.834)
Ru (0.667, 0.333, 0.166)
Ru (0.667, 0.333, 0.334)
O (0.017, 0.509, 0.750)
O (0.178, 0.356, 0.591)
O (0.178, 0.356, 0.909)
O (0.178, 0.822, 0.591)
O (0.178, 0.822, 0.909)
O (0.356, 0.178, 0.091)
O (0.356, 0.178, 0.409)
O (0.491, 0.509, 0.750)
O (0.491, 0.983, 0.750)
O (0.509, 0.017, 0.250)
O (0.509, 0.491, 0.250)
O (0.644, 0.822, 0.591)
O (0.644, 0.822, 0.909)
O (0.822, 0.178, 0.091)
O (0.822, 0.178, 0.409)
O (0.822, 0.644, 0.091)
O (0.822, 0.644, 0.409)
O (0.983, 0.491, 0.250)

Entry 3:
A geometry-optimized Ba3TbRu2O9 structure, computed with PBEsol.

Unit cell a=5.868 b=5.868 c=14.398 alpha=90.00 beta=90.00 gamma=120.00
Positions (direct):
Ba (0.000, 0.000, 0.250)
Ba (0.000, 0.000, 0.750)
Ba (0.333, 0.667, 0.095)
Ba (0.333, 0.667, 0.405)
Ba (0.667, 0.333, 0.595)
Ba (0.667, 0.333, 0.905)
Tb (0.000, 0.000, 0.000)
Tb (0.000, 0.000, 0.500)
Ru (0.333, 0.667, 0.665)
Ru (0.333, 0.667, 0.835)
Ru (0.667, 0.333, 0.165)
Ru (0.667, 0.333, 0.335)
O (0.018, 0.509, 0.750)
O (0.177, 0.354, 0.589)
O (0.177, 0.354, 0.911)
O (0.177, 0.823, 0.589)
O (0.177, 0.823, 0.911)
O (0.354, 0.177, 0.089)
O (0.354, 0.177, 0.411)
O (0.491, 0.509, 0.750)
O (0.491, 0.982, 0.750)
O (0.509, 0.018, 0.250)
O (0.509, 0.491, 0.250)
O (0.646, 0.823, 0.589)
O (0.646, 0.823, 0.911)
O (0.823, 0.177, 0.089)
O (0.823, 0.177, 0.411)
O (0.823, 0.646, 0.089)
O (0.823, 0.646, 0.411)
O (0.982, 0.491, 0.250)

Calculated values (eV/atom) of energy for the records, taken in order: -6.99, -7.52, -7.55.
Calculated values (kJ/mol of formula units) of uncorrected formation energy for the records, taken in order: -3407, -3246, -3297.